Entry 1:
First-principles (GGA-PBE) data for crystalline CdAg2Rh2 at its relaxed geometry, as listed in Alexandria.

Unit cell a=7.004 b=7.004 c=3.698 alpha=90.00 beta=90.00 gamma=90.00
Space group P4/mbm (No. 127)
One atom of each set of equivalent atoms:
Cd1 0.000 0.000 0.000 x2
Ag1 0.170 0.330 0.500 x4
Rh1 0.127 0.627 0.000 x4

Relative energy among the computed polymorphs   0.00 eV/f.u.
Formation energy from the elements   323 meV per atom
V   91 Å³/f.u.

Entry 2:
First-principles (GGA-PBE) data for crystalline Cd5AgRh at its relaxed geometry, as listed in Alexandria.

Unit cell a=7.102 b=6.719 c=12.294 alpha=90.00 beta=90.00 gamma=90.00
Space group Cmcm (No. 63)
One atom of each set of equivalent atoms:
Cd1 0.000 0.002 0.250 x4
Cd2 0.223 0.283 0.612 x16
Ag1 0.000 0.442 0.250 x4
Rh1 0.000 0.000 0.000 x4

Formation energy from the elements   -46 meV per atom
V   147 Å³/f.u.

Entry 3:
First-principles (GGA-PBE) data for crystalline Cd2Ag2Rh at its relaxed geometry, as listed in Alexandria.

Unit cell a=3.702 b=3.702 c=14.599 alpha=90.00 beta=90.00 gamma=90.00
Space group I4/mmm (No. 139)
One atom of each set of equivalent atoms:
Cd1 0.000 0.000 0.094 x4
Ag1 0.000 0.500 0.250 x4
Rh1 0.000 0.000 0.500 x2

Relative energy among the computed polymorphs   1.12 eV/f.u.
Formation energy from the elements   232 meV per atom
V   100 Å³/f.u.

Entry 4:
First-principles (GGA-PBE) data for crystalline Cd3AgRh at its relaxed geometry, as listed in Alexandria.

Unit cell a=12.187 b=8.561 c=9.361 alpha=90.00 beta=128.22 gamma=90.00
Space group C2/c (No. 15)
One atom of each set of equivalent atoms:
Cd1 0.078 0.165 0.065 x8
Cd2 0.154 0.497 0.070 x8
Cd3 0.211 0.140 0.578 x8
Ag1 0.138 0.300 0.808 x8
Rh1 0.000 0.004 0.750 x4
Rh2 0.000 0.335 0.250 x4

Relative energy among the computed polymorphs   0.23 eV/f.u.
Formation energy from the elements   -4 meV per atom
V   96 Å³/f.u.